No. 1
Dy8Tl3S3N PBE relaxed; SG = C2/m, No. 12; raw formation energy = -1.098 eV per atom; M_tot = 0.0 μB/cell
1.0
7.6160 -0.0035 -0.0020
-3.8110 6.6013 -0.0297
0.0000 -4.3715 7.7465
Dy Tl S N
8 3 3 1
direct
0.2661 0.5324 0.2986 Dy
0.7339 0.4676 0.7014 Dy
0.7872 0.5746 0.3144 Dy
0.2128 0.4254 0.6856 Dy
0.7871 0.0265 0.3141 Dy
0.2129 0.9735 0.6859 Dy
0.2394 0.0266 0.3142 Dy
0.7606 0.9734 0.6858 Dy
0.0000 0.0000 0.0000 Tl
0.0000 0.5000 0.0000 Tl
0.5000 0.5000 0.0000 Tl
0.5000 0.0000 0.5000 S
0.5000 0.5000 0.5000 S
0.0000 0.5000 0.5000 S
0.0000 0.0000 0.5000 N

No. 2
DyTmSN PBE relaxed; SG = R3m, No. 160; raw formation energy = -1.873 eV per atom; M_tot = 0.0 μB/cell
1.0
3.5865 0.0000 0.0000
1.7932 3.1060 0.0000
1.7932 1.0353 6.2180
Dy Tm S N
1 1 1 1
direct
0.7364 0.7364 0.7907 Dy
0.2642 0.2642 0.2073 Tm
0.5018 0.5018 0.4946 S
0.9976 0.9976 0.0073 N

No. 3
DyUS2N PBE relaxed; SG = P4/nmm, No. 129; raw formation energy = -1.760 eV per atom; M_tot = 3.4 μB/cell
1.0
3.8139 0.0000 0.0000
0.0000 3.8139 0.0000
0.0000 0.0000 13.8119
Dy U S N
2 2 4 2
direct
0.5000 0.0000 0.1195 Dy
0.0000 0.5000 0.8805 Dy
0.5000 0.0000 0.5862 U
0.0000 0.5000 0.4138 U
0.0000 0.5000 0.6910 S
0.0000 0.5000 0.0913 S
0.5000 0.0000 0.9087 S
0.5000 0.0000 0.3090 S
0.0000 0.0000 0.5000 N
0.5000 0.5000 0.5000 N

Computed electronic total energy, in the same sequence as the records: -81.10; -29.02; -41.27 eV/f.u..
Computed volume, in the same sequence as the records: 25.9; 17.3; 20.1 A^3/atom.